# CuTe3 GGA-PBEsol optimized geometry
data_CuTe3
_chemical_formula_sum 'Cu3 Te9'
_space_group_name_H-M_alt 'R -3 m'
_space_group_IT_number 166
_space_group_name_Hall '-R 3 2"'
_cell_length_a 3.9816
_cell_length_b 3.9816
_cell_length_c 21.3804
_cell_angle_alpha 90.00
_cell_angle_beta 90.00
_cell_angle_gamma 120.00
loop_
_atom_site_label
_atom_site_type_symbol
_atom_site_fract_x
_atom_site_fract_y
_atom_site_fract_z
Cu1 Cu 0.0000 0.0000 0.0000
Te1 Te 0.0000 0.0000 0.2687
Te2 Te 0.0000 0.0000 0.5000
# Uncorrected formation energy: 20 meV/atom

# TiInCl3 GGA-PBEsol optimized geometry
data_TiInCl3
_chemical_formula_sum 'Ti1 In1 Cl3'
_space_group_name_H-M_alt 'P m -3 m'
_space_group_IT_number 221
_space_group_name_Hall '-P 4 2 3'
_cell_length_a 4.902
_cell_length_b 4.902
_cell_length_c 4.902
_cell_angle_alpha 90.00
_cell_angle_beta 90.00
_cell_angle_gamma 90.00
loop_
_atom_site_label
_atom_site_type_symbol
_atom_site_fract_x
_atom_site_fract_y
_atom_site_fract_z
Ti1 Ti 0.000 0.000 0.000
In1 In 0.500 0.500 0.500
Cl1 Cl 0.000 0.000 0.500
# Uncorrected formation energy: -1069 meV/atom

# Zr5Sn4 GGA-PBEsol optimized geometry
data_Zr5Sn4
_chemical_formula_sum 'Zr10 Sn8'
_space_group_name_H-M_alt 'P 63/m c m'
_space_group_IT_number 193
_space_group_name_Hall '-P 6c 2'
_cell_length_a 8.7132
_cell_length_b 8.7132
_cell_length_c 5.8953
_cell_angle_alpha 90.00
_cell_angle_beta 90.00
_cell_angle_gamma 120.00
loop_
_atom_site_label
_atom_site_type_symbol
_atom_site_fract_x
_atom_site_fract_y
_atom_site_fract_z
Zr1 Zr 0.0000 0.2807 0.2500
Zr2 Zr 0.3333 0.6667 0.0000
Sn1 Sn 0.0000 0.0000 0.0000
Sn2 Sn 0.0000 0.3858 0.7500
# E_form: -0.67 eV/atom

# TlNi2As2 GGA-PBEsol optimized geometry
data_TlNi2As2
_chemical_formula_sum 'Tl2 Ni4 As4'
_space_group_name_H-M_alt 'I 4/m m m'
_space_group_IT_number 139
_space_group_name_Hall '-I 4 2'
_cell_length_a 3.919
_cell_length_b 3.919
_cell_length_c 12.051
_cell_angle_alpha 90.00
_cell_angle_beta 90.00
_cell_angle_gamma 90.00
loop_
_atom_site_label
_atom_site_type_symbol
_atom_site_fract_x
_atom_site_fract_y
_atom_site_fract_z
Tl1 Tl 0.000 0.000 0.000
Ni1 Ni 0.000 0.500 0.250
As1 As 0.000 0.000 0.352
# E_form: -0.14 eV/atom
# Distance to the lowest polymorph of the same formula: 0 meV per atom

# KPb GGA-PBEsol optimized geometry
data_KPb
_chemical_formula_sum 'K6 Pb6'
_space_group_name_H-M_alt 'C 1 m 1'
_space_group_IT_number 8
_space_group_name_Hall 'C -2y'
_cell_length_a 13.221
_cell_length_b 4.504
_cell_length_c 7.881
_cell_angle_alpha 90.00
_cell_angle_beta 109.80
_cell_angle_gamma 90.00
loop_
_atom_site_label
_atom_site_type_symbol
_atom_site_fract_x
_atom_site_fract_y
_atom_site_fract_z
K1 K 0.000 0.000 0.000
K2 K 0.020 0.000 0.461
K3 K 0.205 0.500 0.829
Pb1 Pb 0.201 0.500 0.342
Pb2 Pb 0.317 0.000 0.198
Pb3 Pb 0.350 0.000 0.607
# E_form: -0.15 eV/atom
# Distance to the lowest polymorph of the same formula: 86 meV per atom

# BaCo2P2H2O9 GGA-PBEsol optimized geometry
data_BaCo2P2H2O9
_chemical_formula_sum 'Ba2 Co4 P4 H4 O18'
_space_group_name_H-M_alt 'C 1 2 1'
_space_group_IT_number 5
_space_group_name_Hall 'C 2y'
_cell_length_a 9.097
_cell_length_b 4.877
_cell_length_c 8.311
_cell_angle_alpha 90.00
_cell_angle_beta 92.07
_cell_angle_gamma 90.00
loop_
_atom_site_label
_atom_site_type_symbol
_atom_site_fract_x
_atom_site_fract_y
_atom_site_fract_z
Ba1 Ba 0.000 0.000 0.000
Co1 Co 0.167 0.445 0.643
P1 P 0.154 0.512 0.263
H1 H 0.061 0.075 0.430
O1 O 0.000 0.189 0.500
O2 O 0.010 0.568 0.787
O3 O 0.176 0.199 0.256
O4 O 0.187 0.637 0.435
O5 O 0.244 0.173 0.847
# VASP energy: -223.58 eV/cell

# BeCu3 GGA-PBEsol optimized geometry
data_BeCu3
_chemical_formula_sum 'Be1 Cu3'
_space_group_name_H-M_alt 'P m -3 m'
_space_group_IT_number 221
_space_group_name_Hall '-P 4 2 3'
_cell_length_a 3.478
_cell_length_b 3.478
_cell_length_c 3.478
_cell_angle_alpha 90.00
_cell_angle_beta 90.00
_cell_angle_gamma 90.00
loop_
_atom_site_label
_atom_site_type_symbol
_atom_site_fract_x
_atom_site_fract_y
_atom_site_fract_z
Be1 Be 0.000 0.000 0.000
Cu1 Cu 0.000 0.500 0.500
# E_form: -0.02 eV/atom

# Hf2SnH2 GGA-PBEsol optimized geometry
data_Hf2SnH2
_chemical_formula_sum 'Hf4 Sn2 H4'
_space_group_name_H-M_alt 'I 4/m m m'
_space_group_IT_number 139
_space_group_name_Hall '-I 4 2'
_cell_length_a 3.762
_cell_length_b 3.762
_cell_length_c 9.411
_cell_angle_alpha 90.00
_cell_angle_beta 90.00
_cell_angle_gamma 90.00
loop_
_atom_site_label
_atom_site_type_symbol
_atom_site_fract_x
_atom_site_fract_y
_atom_site_fract_z
Hf1 Hf 0.000 0.000 0.166
Sn1 Sn 0.000 0.000 0.500
H1 H 0.000 0.500 0.250
# VASP energy: -68.13 eV/cell

Across the entries above, Fermi-level density of states takes the values 0.51, 0.77, 0.54, 0.62, 0.56, 0.21, 0.32, 0.31 states/eV per atom, respectively.